# 1
The following is a GGA-PBEsol calculation of a relaxed Sc2MnTe crystal, from the Alexandria database.

Calculated values
space group = Amm2, No. 38
formation energy without anion corrections = -427 meV per atom
Fermi-level density of states = 4.16 states/eV per cell

Lattice parameters (Å, degrees): 3.724 4.077 5.582 90.00 109.49 90.00
Sites, in units of the cell vectors:
Sc  0.102  0.000  0.204
Sc  0.401  0.500  0.802
Mn  0.658  0.500  0.317
Te  0.821  0.000  0.642

# 2
The following is a GGA-PBEsol calculation of a relaxed FeCoAgI2 crystal, from the Alexandria database.

Calculated values
space group = P4/mmm, No. 123
formation energy without anion corrections = 1211 meV per atom
Fermi-level density of states = 10.60 states/eV per cell

Lattice parameters (Å, degrees): 4.780 5.012 5.012 90.00 90.00 90.00
Sites, in units of the cell vectors:
Ag  0.500  0.000  0.000
Fe  0.000  0.000  0.000
I  0.000  0.000  0.500
I  0.000  0.500  0.000
Co  0.500  0.500  0.500

# 3
The following is a GGA-PBEsol calculation of a relaxed Ta4Mo crystal, from the Alexandria database.

Calculated values
energy above the most stable polymorph in this dataset = 0.0 meV/atom
space group = I4/m, No. 87
Fermi-level density of states = 5.55 states/eV per cell
formation enthalpy at 0 K = -0.0885 eV/atom

Lattice parameters (Å, degrees): 3.216 5.402 5.402 84.92 72.69 72.69
Sites, in units of the cell vectors:
Mo  0.000  0.000  0.000
Ta  0.208  0.199  0.385
Ta  0.407  0.385  0.801
Ta  0.593  0.615  0.199
Ta  0.792  0.801  0.615

The electronic total energy results, record by record, are as follows: -28.20; -17.49; -62.41 eV for the cell shown.
The spin magnetization results, record by record, are as follows: 0.527; 0.808; 0.000 μB per atom.